Record 1
# PrYCd17, optimized geometry, DFT PBE
data_PrYCd17
_cell_length_a 7.6722
_cell_length_b 7.6722
_cell_length_c 7.6722
_cell_angle_alpha 82.16
_cell_angle_beta 82.16
_cell_angle_gamma 82.16
_symmetry_space_group_name_H-M 'P 1'
_symmetry_Int_Tables_number 1
_symmetry_space_group_name_Hall 'P 1'
loop_
_atom_site_label
_atom_site_type_symbol
_atom_site_fract_x
_atom_site_fract_y
_atom_site_fract_z
_atom_site_occupancy
Cd1 Cd 0.6962 0.3001 0.0022 1
Cd2 Cd 0.3001 0.0022 0.6962 1
Cd3 Cd 0.3001 0.6962 0.0022 1
Cd4 Cd 0.1039 0.1039 0.1039 1
Cd5 Cd 0.6247 0.6247 0.2024 1
Cd6 Cd 0.2024 0.6247 0.6247 1
Cd7 Cd 0.3464 0.8720 0.3464 1
Cd8 Cd 0.6962 0.0022 0.3001 1
Cd9 Cd 0.9068 0.9068 0.9068 1
Cd10 Cd 0.0022 0.6962 0.3001 1
Cd11 Cd 0.9799 0.5223 0.9799 1
Cd12 Cd 0.8720 0.3464 0.3464 1
Cd13 Cd 0.0022 0.3001 0.6962 1
Cd14 Cd 0.5223 0.9799 0.9799 1
Cd15 Cd 0.9799 0.9799 0.5223 1
Cd16 Cd 0.3464 0.3464 0.8720 1
Cd17 Cd 0.6247 0.2024 0.6247 1
Pr1 Pr 0.6676 0.6676 0.6676 1
Y1 Y 0.3258 0.3258 0.3258 1
# * electronic total energy: -1.55 eV per atom
# * formation energy: -0.14 eV per atom
# * symmetry: R3m


Record 2
# PrY6Cd2, optimized geometry, DFT PBE
data_PrY6Cd2
_cell_length_a 3.7550
_cell_length_b 6.6560
_cell_length_c 11.9045
_cell_angle_alpha 74.85
_cell_angle_beta 80.93
_cell_angle_gamma 73.62
_symmetry_space_group_name_H-M 'P 1'
_symmetry_Int_Tables_number 1
_symmetry_space_group_name_Hall 'P 1'
loop_
_atom_site_label
_atom_site_type_symbol
_atom_site_fract_x
_atom_site_fract_y
_atom_site_fract_z
_atom_site_occupancy
Cd1 Cd 0.6497 0.9163 0.7843 1
Cd2 Cd 0.3503 0.0837 0.2157 1
Y1 Y 0.9839 0.6903 0.3419 1
Y2 Y 0.6851 0.5052 0.1247 1
Y3 Y 0.3120 0.7919 0.5841 1
Y4 Y 0.0161 0.3097 0.6581 1
Y5 Y 0.6880 0.2081 0.4159 1
Y6 Y 0.3149 0.4948 0.8753 1
Pr1 Pr 0.0000 0.0000 0.0000 1
# * electronic total energy: -5.18 eV per atom
# * formation energy: -0.14 eV per atom
# * symmetry: C2/m


Record 3
# Pr2Y3Cd4, optimized geometry, DFT PBE
data_Pr2Y3Cd4
_cell_length_a 6.9212
_cell_length_b 8.2477
_cell_length_c 9.9117
_cell_angle_alpha 90.00
_cell_angle_beta 110.43
_cell_angle_gamma 90.00
_symmetry_space_group_name_H-M 'P 1'
_symmetry_Int_Tables_number 1
_symmetry_space_group_name_Hall 'P 1'
loop_
_atom_site_label
_atom_site_type_symbol
_atom_site_fract_x
_atom_site_fract_y
_atom_site_fract_z
_atom_site_occupancy
Pr1 Pr 0.4077 0.0983 0.8154 1
Pr2 Pr 0.9077 0.4017 0.8154 1
Pr3 Pr 0.5923 0.9017 0.1846 1
Pr4 Pr 0.0923 0.5983 0.1846 1
Y1 Y 0.5037 0.7500 0.5075 1
Y2 Y 0.5000 0.5000 0.0000 1
Y3 Y 0.0000 0.0000 0.0000 1
Y4 Y 0.4963 0.2500 0.4925 1
Y5 Y 0.0037 0.7500 0.5075 1
Y6 Y 0.9963 0.2500 0.4925 1
Cd1 Cd 0.1630 0.9874 0.3259 1
Cd2 Cd 0.1750 0.7500 0.8500 1
Cd3 Cd 0.8250 0.2500 0.1500 1
Cd4 Cd 0.8370 0.0126 0.6741 1
Cd5 Cd 0.3370 0.4874 0.6741 1
Cd6 Cd 0.3250 0.2500 0.1500 1
Cd7 Cd 0.6750 0.7500 0.8500 1
Cd8 Cd 0.6630 0.5126 0.3259 1
# * electronic total energy: -3.81 eV per atom
# * formation energy: -0.19 eV per atom
# * symmetry: Cmce


Record 4
# PrY4Cd5, optimized geometry, DFT PBE
data_PrY4Cd5
_cell_length_a 3.7665
_cell_length_b 3.7665
_cell_length_c 19.0159
_cell_angle_alpha 90.00
_cell_angle_beta 90.00
_cell_angle_gamma 90.00
_symmetry_space_group_name_H-M 'P 1'
_symmetry_Int_Tables_number 1
_symmetry_space_group_name_Hall 'P 1'
loop_
_atom_site_label
_atom_site_type_symbol
_atom_site_fract_x
_atom_site_fract_y
_atom_site_fract_z
_atom_site_occupancy
Pr1 Pr 0.0000 0.0000 0.0000 1
Cd1 Cd 0.5000 0.5000 0.3035 1
Cd2 Cd 0.5000 0.5000 0.8903 1
Cd3 Cd 0.5000 0.5000 0.6965 1
Cd4 Cd 0.5000 0.5000 0.1097 1
Cd5 Cd 0.5000 0.5000 0.5000 1
Y1 Y 0.0000 0.0000 0.2052 1
Y2 Y 0.0000 0.0000 0.7948 1
Y3 Y 0.0000 0.0000 0.5980 1
Y4 Y 0.0000 0.0000 0.4020 1
# * electronic total energy: -3.87 eV per atom
# * formation energy: -0.34 eV per atom
# * symmetry: P4/mmm


Record 5
# Pr14YCd, optimized geometry, DFT PBE
data_Pr14YCd
_cell_length_a 7.3117
_cell_length_b 7.3117
_cell_length_c 10.4198
_cell_angle_alpha 90.00
_cell_angle_beta 90.00
_cell_angle_gamma 89.99
_symmetry_space_group_name_H-M 'P 1'
_symmetry_Int_Tables_number 1
_symmetry_space_group_name_Hall 'P 1'
loop_
_atom_site_label
_atom_site_type_symbol
_atom_site_fract_x
_atom_site_fract_y
_atom_site_fract_z
_atom_site_occupancy
Pr1 Pr 0.8749 0.1251 0.5000 1
Pr2 Pr 0.3753 0.6247 0.5000 1
Pr3 Pr 0.6270 0.3730 0.2450 1
Pr4 Pr 0.8750 0.6251 0.0000 1
Pr5 Pr 0.6270 0.8770 0.2451 1
Pr6 Pr 0.6270 0.8770 0.7549 1
Pr7 Pr 0.6270 0.3730 0.7550 1
Pr8 Pr 0.3749 0.1248 0.5000 1
Pr9 Pr 0.8752 0.6251 0.5000 1
Pr10 Pr 0.1230 0.3730 0.7549 1
Pr11 Pr 0.1231 0.8769 0.7548 1
Pr12 Pr 0.3749 0.1250 0.0000 1
Pr13 Pr 0.1231 0.8769 0.2452 1
Pr14 Pr 0.1230 0.3730 0.2451 1
Cd1 Cd 0.8746 0.1254 0.0000 1
Y1 Y 0.3750 0.6250 0.0000 1
# * electronic total energy: -4.66 eV per atom
# * formation energy: -0.02 eV per atom
# * symmetry: P4/mmm


Record 6
# Pr4YCd5, optimized geometry, DFT PBE
data_Pr4YCd5
_cell_length_a 3.8452
_cell_length_b 3.8452
_cell_length_c 19.4134
_cell_angle_alpha 90.00
_cell_angle_beta 90.00
_cell_angle_gamma 90.00
_symmetry_space_group_name_H-M 'P 1'
_symmetry_Int_Tables_number 1
_symmetry_space_group_name_Hall 'P 1'
loop_
_atom_site_label
_atom_site_type_symbol
_atom_site_fract_x
_atom_site_fract_y
_atom_site_fract_z
_atom_site_occupancy
Cd1 Cd 0.5000 0.5000 0.9086 1
Cd2 Cd 0.5000 0.5000 0.2974 1
Cd3 Cd 0.5000 0.5000 0.7026 1
Cd4 Cd 0.5000 0.5000 0.5000 1
Cd5 Cd 0.5000 0.5000 0.0914 1
Pr1 Pr 0.0000 0.0000 0.1953 1
Pr2 Pr 0.0000 0.0000 0.6017 1
Pr3 Pr 0.0000 0.0000 0.8047 1
Pr4 Pr 0.0000 0.0000 0.3983 1
Y1 Y 0.0000 0.0000 0.0000 1
# * electronic total energy: -3.34 eV per atom
# * formation energy: -0.32 eV per atom
# * symmetry: P4/mmm


Record 7
# Pr12Y3Cd, optimized geometry, DFT PBE
data_Pr12Y3Cd
_cell_length_a 5.1441
_cell_length_b 5.1441
_cell_length_c 20.7968
_cell_angle_alpha 90.00
_cell_angle_beta 90.00
_cell_angle_gamma 90.00
_symmetry_space_group_name_H-M 'P 1'
_symmetry_Int_Tables_number 1
_symmetry_space_group_name_Hall 'P 1'
loop_
_atom_site_label
_atom_site_type_symbol
_atom_site_fract_x
_atom_site_fract_y
_atom_site_fract_z
_atom_site_occupancy
Pr1 Pr 0.5000 0.5000 0.5000 1
Pr2 Pr 0.5000 0.5000 0.7539 1
Pr3 Pr 0.0000 0.5000 0.1213 1
Pr4 Pr 0.0000 0.5000 0.3736 1
Pr5 Pr 0.0000 0.5000 0.6264 1
Pr6 Pr 0.5000 0.0000 0.6264 1
Pr7 Pr 0.5000 0.5000 0.2461 1
Pr8 Pr 0.5000 0.0000 0.3736 1
Pr9 Pr 0.5000 0.5000 0.0000 1
Pr10 Pr 0.5000 0.0000 0.1213 1
Pr11 Pr 0.5000 0.0000 0.8787 1
Pr12 Pr 0.0000 0.5000 0.8787 1
Y1 Y 0.0000 0.0000 0.2475 1
Y2 Y 0.0000 0.0000 0.7525 1
Y3 Y 0.0000 0.0000 0.5000 1
Cd1 Cd 0.0000 0.0000 0.0000 1
# * electronic total energy: -4.87 eV per atom
# * formation energy: -0.02 eV per atom
# * symmetry: P4/mmm


Record 8
# Pr3Y3Cd2, optimized geometry, DFT PBE
data_Pr3Y3Cd2
_cell_length_a 5.3587
_cell_length_b 6.5324
_cell_length_c 15.8610
_cell_angle_alpha 90.00
_cell_angle_beta 90.00
_cell_angle_gamma 114.22
_symmetry_space_group_name_H-M 'P 1'
_symmetry_Int_Tables_number 1
_symmetry_space_group_name_Hall 'P 1'
loop_
_atom_site_label
_atom_site_type_symbol
_atom_site_fract_x
_atom_site_fract_y
_atom_site_fract_z
_atom_site_occupancy
Y1 Y 0.6435 0.2870 0.4659 1
Y2 Y 0.5449 0.0898 0.7500 1
Y3 Y 0.6435 0.2870 0.0341 1
Y4 Y 0.3565 0.7130 0.9659 1
Y5 Y 0.4551 0.9102 0.2500 1
Y6 Y 0.3565 0.7130 0.5341 1
Pr1 Pr 0.2663 0.5326 0.7500 1
Pr2 Pr 0.9633 0.9267 0.1068 1
Pr3 Pr 0.9633 0.9267 0.3932 1
Pr4 Pr 0.0367 0.0733 0.6068 1
Pr5 Pr 0.7337 0.4674 0.2500 1
Pr6 Pr 0.0367 0.0733 0.8932 1
Cd1 Cd 0.2345 0.4691 0.1344 1
Cd2 Cd 0.7655 0.5309 0.8656 1
Cd3 Cd 0.7655 0.5309 0.6344 1
Cd4 Cd 0.2345 0.4691 0.3656 1
# * electronic total energy: -4.53 eV per atom
# * formation energy: -0.09 eV per atom
# * symmetry: Cmcm


Record 9
# Pr3YCd, optimized geometry, DFT PBE
data_Pr3YCd
_cell_length_a 5.5893
_cell_length_b 9.9387
_cell_length_c 12.1373
_cell_angle_alpha 104.97
_cell_angle_beta 90.00
_cell_angle_gamma 90.00
_symmetry_space_group_name_H-M 'P 1'
_symmetry_Int_Tables_number 1
_symmetry_space_group_name_Hall 'P 1'
loop_
_atom_site_label
_atom_site_type_symbol
_atom_site_fract_x
_atom_site_fract_y
_atom_site_fract_z
_atom_site_occupancy
Cd1 Cd 0.2499 0.2952 0.1585 1
Cd2 Cd 0.7499 0.2048 0.3415 1
Cd3 Cd 0.2501 0.7952 0.6585 1
Cd4 Cd 0.7501 0.7048 0.8415 1
Pr1 Pr 0.2500 0.0789 0.5752 1
Pr2 Pr 0.7500 0.7847 0.1216 1
Pr3 Pr 0.7499 0.1134 0.0609 1
Pr4 Pr 0.7500 0.9211 0.4248 1
Pr5 Pr 0.7500 0.2847 0.6216 1
Pr6 Pr 0.2500 0.5789 0.0752 1
Pr7 Pr 0.7501 0.6134 0.5609 1
Pr8 Pr 0.2500 0.2153 0.8784 1
Pr9 Pr 0.2501 0.8866 0.9391 1
Pr10 Pr 0.2500 0.7153 0.3784 1
Pr11 Pr 0.7500 0.4211 0.9248 1
Pr12 Pr 0.2499 0.3866 0.4391 1
Y1 Y 0.2500 0.5212 0.7553 1
Y2 Y 0.2500 0.0212 0.2553 1
Y3 Y 0.7500 0.4788 0.2447 1
Y4 Y 0.7500 0.9788 0.7447 1
# * electronic total energy: -4.44 eV per atom
# * energy above the lowest structure with this stoichiometry: 0.08 eV per formula unit
# * formation energy: -0.10 eV per atom
# * symmetry: P2_1/m


Record 10
# Pr2Y5Cd, optimized geometry, DFT PBE
data_Pr2Y5Cd
_cell_length_a 7.0525
_cell_length_b 7.0523
_cell_length_c 7.1348
_cell_angle_alpha 119.63
_cell_angle_beta 119.62
_cell_angle_gamma 90.00
_symmetry_space_group_name_H-M 'P 1'
_symmetry_Int_Tables_number 1
_symmetry_space_group_name_Hall 'P 1'
loop_
_atom_site_label
_atom_site_type_symbol
_atom_site_fract_x
_atom_site_fract_y
_atom_site_fract_z
_atom_site_occupancy
Y1 Y 0.2222 0.2222 0.9442 1
Y2 Y 0.7222 0.7222 0.4444 1
Y3 Y 0.2222 0.7221 0.9443 1
Y4 Y 0.7221 0.7221 0.9444 1
Y5 Y 0.7221 0.2223 0.9443 1
Pr1 Pr 0.2222 0.7221 0.4443 1
Pr2 Pr 0.7221 0.2222 0.4443 1
Cd1 Cd 0.2218 0.2218 0.4438 1
# * electronic total energy: -5.37 eV per atom
# * formation energy: -0.02 eV per atom
# * symmetry: I4/mmm